Record 1
## ReAgI3 (GGA-PBE)

Data for a geometry-optimized ReAgI3 structure.

a b c (Å): 5.521 5.521 5.521
angles (deg): 90.00 90.00 90.00
Site moments in Bohr magnetons follow the coordinates.
Sites, in units of the cell vectors:
I1 0.000 0.500 0.000  0.05
I2 0.000 0.000 0.500  0.06
I3 0.500 0.000 0.000  0.11
Re1 0.000 0.000 0.000  2.24
Ag1 0.500 0.500 0.500  -0.02

Output
For the mass density, the calculation gives 6.66 Mg/m³. The energy above the lowest structure with this stoichiometry comes out at 0 kJ/mol of formula units. Its formation energy (no corrections) is 0.7768 eV per atom. The volume is 33.7 Å³ per atom. Its symmetry is Pm-3m.

Record 2
## ReAgI3 (GGA-PBE)

Data for a geometry-optimized ReAgI3 structure.

a b c (Å): 5.705 5.705 5.705
angles (deg): 90.00 90.00 90.00
Site moments in Bohr magnetons follow the coordinates.
Sites, in units of the cell vectors:
I1 0.000 0.500 0.000  0.09
I2 0.000 0.000 0.500  0.06
I3 0.500 0.000 0.000  0.05
Re1 0.500 0.500 0.500  4.45
Ag1 0.000 0.000 0.000  0.00

Output
For the mass density, the calculation gives 6.03 Mg/m³. The energy above the lowest structure with this stoichiometry comes out at 225 kJ/mol of formula units. Its formation energy (no corrections) is 1.2423 eV per atom. The volume is 37.1 Å³ per atom. Its symmetry is Pm-3m.

Record 3
## ReAgI2 (GGA-PBE)

Data for a geometry-optimized ReAgI2 structure.

a b c (Å): 6.726 6.726 7.206
angles (deg): 62.18 62.18 90.00
Sites, in units of the cell vectors:
I1 0.659 0.125 0.250
I2 0.091 0.625 0.250
I3 0.375 0.341 0.750
I4 0.875 0.909 0.750
Re1 0.000 0.000 0.000
Re2 0.750 0.250 0.500
Ag1 0.500 0.500 0.000
Ag2 0.250 0.750 0.500

Output
For the mass density, the calculation gives 7.43 Mg/m³. The energy above the lowest structure with this stoichiometry comes out at 0 kJ/mol of formula units. Its formation energy (no corrections) is 1.0204 eV per atom. The volume is 30.6 Å³ per atom. Its symmetry is I-42d.

Record 4
## TaReAg2I (GGA-PBE)

Data for a geometry-optimized TaReAg2I structure.

a b c (Å): 5.252 4.745 5.252
angles (deg): 90.00 90.00 90.00
Site moments in Bohr magnetons follow the coordinates.
Sites, in units of the cell vectors:
I1 0.500 0.500 0.500  0.04
Re1 0.000 0.000 0.000  0.70
Ag1 0.000 0.000 0.500  0.06
Ag2 0.500 0.000 0.000  0.03
Ta1 0.000 0.500 0.000  -0.20

Output
For the mass density, the calculation gives 9.00 Mg/m³. Its formation energy (no corrections) is 1.4077 eV per atom. The volume is 26.2 Å³ per atom. Its symmetry is P4/mmm.

Record 5
## TlReAgI2 (GGA-PBE)

Data for a geometry-optimized TlReAgI2 structure.

a b c (Å): 5.438 5.374 5.438
angles (deg): 90.00 90.00 90.00
Site moments in Bohr magnetons follow the coordinates.
Sites, in units of the cell vectors:
I1 0.000 0.000 0.500  0.05
I2 0.500 0.000 0.000  0.07
Re1 0.000 0.000 0.000  1.85
Tl1 0.500 0.500 0.500  0.00
Ag1 0.000 0.500 0.000  0.04

Output
For the mass density, the calculation gives 7.86 Mg/m³. Its formation energy (no corrections) is 0.7033 eV per atom. The volume is 31.8 Å³ per atom. Its symmetry is P4/mmm.

Record 6
## AgRh3I (GGA-PBE)

Data for a geometry-optimized AgRh3I structure.

a b c (Å): 4.826 4.826 4.826
angles (deg): 90.00 90.00 90.00
Sites, in units of the cell vectors:
I1 0.000 0.000 0.000
Rh1 0.000 0.500 0.000
Rh2 0.000 0.000 0.500
Rh3 0.500 0.000 0.000
Ag1 0.500 0.500 0.500

Output
For the mass density, the calculation gives 8.03 Mg/m³. The energy above the lowest structure with this stoichiometry comes out at 0 kJ/mol of formula units. Its formation energy (no corrections) is 1.1060 eV per atom. The volume is 22.5 Å³ per atom. Its symmetry is Pm-3m.

Record 7
## AgRh2I (GGA-PBE)

Data for a geometry-optimized AgRh2I structure.

a b c (Å): 4.619 4.619 4.619
angles (deg): 60.00 60.00 60.00
Sites, in units of the cell vectors:
I1 0.500 0.500 0.500
Rh1 0.250 0.250 0.250
Rh2 0.750 0.750 0.750
Ag1 0.000 0.000 0.000

Output
For the mass density, the calculation gives 10.50 Mg/m³. The energy above the lowest structure with this stoichiometry comes out at 0 kJ/mol of formula units. Its formation energy (no corrections) is 0.5202 eV per atom. The volume is 17.4 Å³ per atom. Its symmetry is Fm-3m.

Record 8
## AgRh2I (GGA-PBE)

Data for a geometry-optimized AgRh2I structure.

a b c (Å): 7.321 7.321 5.919
angles (deg): 51.79 51.79 90.00
Sites, in units of the cell vectors:
I1 0.000 0.000 0.000
I2 0.750 0.250 0.500
Rh1 0.649 0.125 0.250
Rh2 0.101 0.625 0.250
Rh3 0.375 0.351 0.750
Rh4 0.875 0.899 0.750
Ag1 0.500 0.500 0.000
Ag2 0.250 0.750 0.500

Output
For the mass density, the calculation gives 9.51 Mg/m³. The energy above the lowest structure with this stoichiometry comes out at 52 kJ/mol of formula units. Its formation energy (no corrections) is 0.6538 eV per atom. The volume is 19.2 Å³ per atom. Its symmetry is I-42d.

Record 9
## AgTe2RhI (GGA-PBE)

Data for a geometry-optimized AgTe2RhI structure.

a b c (Å): 5.395 5.395 5.599
angles (deg): 90.00 90.00 90.00
Site moments in Bohr magnetons follow the coordinates.
Sites, in units of the cell vectors:
I1 0.000 0.000 0.500  0.14
Te1 0.000 0.500 0.000  0.20
Te2 0.500 0.000 0.000  0.20
Rh1 0.500 0.500 0.500  1.54
Ag1 0.000 0.000 0.000  0.01

Output
For the mass density, the calculation gives 6.04 Mg/m³. The energy above the lowest structure with this stoichiometry comes out at 321 kJ/mol of formula units. Its formation energy (no corrections) is 1.0537 eV per atom. The volume is 32.6 Å³ per atom. Its symmetry is P4/mmm.

Record 10
## AgTe2RhI (GGA-PBE)

Data for a geometry-optimized AgTe2RhI structure.

a b c (Å): 5.193 5.193 5.617
angles (deg): 90.00 90.00 90.00
Sites, in units of the cell vectors:
I1 0.000 0.000 0.500
Te1 0.000 0.500 0.000
Te2 0.500 0.000 0.000
Rh1 0.000 0.000 0.000
Ag1 0.500 0.500 0.500

Output
For the mass density, the calculation gives 6.50 Mg/m³. The energy above the lowest structure with this stoichiometry comes out at 0 kJ/mol of formula units. Its formation energy (no corrections) is 0.3889 eV per atom. The volume is 30.3 Å³ per atom. Its symmetry is P4/mmm.

Record 11
## AgRuI2 (GGA-PBE)

Data for a geometry-optimized AgRuI2 structure.

a b c (Å): 6.362 6.362 7.637
angles (deg): 65.39 65.39 90.00
Sites, in units of the cell vectors:
I1 0.588 0.125 0.250
I2 0.162 0.625 0.250
I3 0.375 0.412 0.750
I4 0.875 0.838 0.750
Ru1 0.500 0.500 0.000
Ru2 0.250 0.750 0.500
Ag1 0.000 0.000 0.000
Ag2 0.750 0.250 0.500

Output
For the mass density, the calculation gives 6.15 Mg/m³. The energy above the lowest structure with this stoichiometry comes out at 0 kJ/mol of formula units. Its formation energy (no corrections) is 0.4760 eV per atom. The volume is 31.2 Å³ per atom. Its symmetry is I-42d.

Record 12
## Ag2RuI (GGA-PBE)

Data for a geometry-optimized Ag2RuI structure.

a b c (Å): 4.925 4.925 4.925
angles (deg): 60.00 60.00 60.00
Site moments in Bohr magnetons follow the coordinates.
Sites, in units of the cell vectors:
I1 0.500 0.500 0.500  0.03
Ru1 0.000 0.000 0.000  1.78
Ag1 0.250 0.250 0.250  -0.01
Ag2 0.750 0.750 0.750  -0.01

Output
For the mass density, the calculation gives 8.72 Mg/m³. The energy above the lowest structure with this stoichiometry comes out at 68 kJ/mol of formula units. Its formation energy (no corrections) is 0.9989 eV per atom. The volume is 21.1 Å³ per atom. Its symmetry is Fm-3m.

no.,Fermi-level density of states (states/eV per cell)
1,3.45
2,2.98
3,4.65
4,3.47
5,3.77
6,6.15
7,6.10
8,7.27
9,8.74
10,7.08
11,5.77
12,9.29